## Na2Zn4Ga3Ge (PBE-GGA)

Data for Na2Zn4Ga3Ge after structural relaxation.

```
Na2Zn4Ga3Ge
1.0
-1.782 0.681 3.818
3.010 -2.408 1.834
6.309 8.917 1.354
Zn Na Ga Ge
4 2 3 1
Direct
0.000 0.000 0.000
0.500 0.000 0.640
0.500 0.500 0.000
0.000 0.500 0.360
0.000 0.500 0.753
0.500 0.000 0.247
0.000 0.500 0.133
0.000 0.000 0.500
0.500 0.000 0.867
0.500 0.500 0.500
```

Calculated values
**M_tot**: 0.000 μB/f.u.
**Space-group type**: P-4m2 (115)
**DOS at the Fermi energy**: 4.69 states/eV per cell
**Energy of formation**: -43 meV/atom

***

## Sr2TaCl (PBE-GGA)

Data for Sr2TaCl after structural relaxation.

```
Sr2TaCl
1.0
3.630 0.010 -0.005
1.808 3.148 -0.005
1.825 1.060 9.830
Sr Cl Ta
2 1 1
Direct
0.994 0.994 0.016
0.506 0.506 0.484
0.250 0.250 0.250
0.750 0.750 0.750
```

Calculated values
**M_tot**: 0.000 μB/f.u.
**Formation energy (no corrections)**: -136 meV/atom
**Polymorph energy (0 for the lowest one)**: 0.15 eV per formula unit
**Space-group type**: R-3m (166)
**DOS at the Fermi energy**: 2.16 states/eV per cell

***

> What is the DOS at the Fermi energy in the second record?

2.16 states/eV per cell

***

> Among the records above, which one has the highest DOS at the Fermi energy?

Na2Zn4Ga3Ge